Record 1
Here is a relaxed GeCS2 crystal from the Alexandria database. Energies are from GGA-PBE.

formation energy (no corrections)	0.663	eV per atom
D(E_F)	1.8	states/eV/f.u.
size of the total moment	0.0	μB per formula unit

a b c (Å): 7.5466 7.5466 7.5466
angles (deg): 27.09 27.09 27.09
Atoms (fractional coordinates):
Ge  0.0000  0.0000  0.0000
C  0.5000  0.5000  0.5000
S  0.4275  0.4275  0.4275
S  0.5725  0.5725  0.5725

---

Record 2
Here is a relaxed BaOsW2 crystal from the Alexandria database. Energies are from GGA-PBE.

D(E_F)	5.2	states/eV/f.u.
formation energy from the elements	1.685	eV per atom
size of the total moment	0.1	μB per formula unit

a b c (Å): 5.7342 5.7342 2.8466
angles (deg): 90.00 90.00 123.02
Atoms (fractional coordinates):
Ba  0.0000  0.0000  0.0000
Os  0.5000  0.5000  0.0000
W  0.0000  0.5000  0.5000
W  0.5000  0.0000  0.5000

---

Record 3
Here is a relaxed La4AgMo crystal from the Alexandria database. Energies are from GGA-PBE.

D(E_F)	8.8	states/eV/f.u.
formation energy from the elements	0.845	eV per atom
size of the total moment	1.3	μB per formula unit

a b c (Å): 6.3134 6.3134 6.3134
angles (deg): 60.00 60.00 60.00
Atoms (fractional coordinates):
La  0.1240  0.1240  0.1240
La  0.1240  0.1240  0.6279
La  0.1240  0.6279  0.1240
La  0.6279  0.1240  0.1240
Ag  0.5000  0.5000  0.5000
Mo  0.7500  0.7500  0.7500

---

Question: Which value of D(E_F) does entry 1 give?
Answer: 1.8 states/eV/f.u.